# Sr3Tb3PrTe8 (GGA-PBE, optimized geometry)
data_Sr3Tb3PrTe8
_chemical_formula_sum 'Sr9 Tb9 Pr3 Te24'
_cell_length_a 8.9431
_cell_length_b 8.9431
_cell_length_c 22.8487
_cell_angle_alpha 90.00
_cell_angle_beta 90.00
_cell_angle_gamma 120.00
_symmetry_space_group_name_H-M 'R -3 m'
_symmetry_Int_Tables_number 166
_symmetry_space_group_name_Hall '-R 3 2"'
loop_
_atom_site_label
_atom_site_type_symbol
_atom_site_fract_x
_atom_site_fract_y
_atom_site_fract_z
Sr1 Sr 0.0000 0.5000 0.0000
Tb1 Tb 0.0000 0.5000 0.5000
Pr1 Pr 0.0000 0.0000 0.5000
Te1 Te 0.0000 0.0000 0.2439
Te2 Te 0.0128 0.5064 0.7541
# Calculated volume ... 1582.6 Å³ per cell
# DOS at the Fermi energy ... 5.3 states/eV/f.u.
# E_tot ... -4.78 eV/atom